VASP calculation (PBE) on a relaxed structure of LiCeY2Hg4.

Output
Space-group type ... R-3m
Density of states at the Fermi level ... 11.41 states/eV/f.u.
Formation energy ... -3.2 eV per formula unit
Crystal system ... trigonal

Cell: 9.2759 9.2759 9.2759 Å, 32.28 32.28 32.28°
Last column: nearest neighbours and their distance in Å.
Positions (direct):
Li 0.0000 0.0000 0.0000  8 Hg 3.10-3.16
Ce 0.5000 0.5000 0.5000  8 Hg 3.25-3.34
Y 0.2563 0.2563 0.2563  7 Hg 3.08-3.16
Y 0.7437 0.7437 0.7437  7 Hg 3.08-3.16
Hg 0.1176 0.1176 0.1176  1 Li 3.10, 3 Y 3.16, 3 Ce 3.25
Hg 0.3733 0.3733 0.3733  4 Y 3.08-3.13, 3 Li 3.16, 1 Ce 3.34
Hg 0.6267 0.6267 0.6267  4 Y 3.08-3.13, 3 Li 3.16, 1 Ce 3.34
Hg 0.8824 0.8824 0.8824  1 Li 3.10, 3 Y 3.16, 3 Ce 3.25

=====

VASP calculation (PBE) on a relaxed structure of BeAgPt2.

Output
Space-group type ... Cm
Density of states at the Fermi level ... 2.26 states/eV/f.u.
Formation energy ... -0.8 eV per formula unit
Crystal system ... monoclinic

Cell: 4.8462 4.8462 5.2519 Å, 119.38 119.38 33.97°
Last column: nearest neighbours and their distance in Å.
Positions (direct):
Be 0.0000 0.0000 0.0000  4 Pt 2.25-2.26
Ag 0.7324 0.7324 0.0201  3 Be 2.53-2.54, 2 Ag 2.83
Pt 0.3562 0.3562 0.6140  2 Be 2.26
Pt 0.5551 0.5551 0.3733  2 Be 2.25

=====

VASP calculation (PBE) on a relaxed structure of LaSm12Tm5.

Output
Space-group type ... Cmmm
Density of states at the Fermi level ... 27.08 states/eV/f.u.
Formation energy ... 0.4 eV per formula unit
Crystal system ... orthorhombic

Cell: 10.7915 10.7915 5.0889 Å, 90.00 90.00 90.10°
Last column: nearest neighbours and their distance in Å.
Positions (direct):
La 0.0000 0.0000 0.0000  8 Sm 3.61, 4 Tm 3.62
Sm 0.0014 0.6654 0.0000  8 Sm 3.57-3.64, 3 Tm 3.58-3.60, 1 La 3.61
Sm 0.1681 0.1681 0.5000  8 Sm 3.60-3.61, 2 La 3.61, 2 Tm 3.64
Sm 0.1696 0.5018 0.5000  4 Tm 3.55-3.57, 8 Sm 3.59-3.66
Sm 0.3346 0.9986 0.0000  8 Sm 3.57-3.64, 3 Tm 3.58-3.60, 1 La 3.61
Sm 0.3357 0.3357 0.0000  4 Tm 3.57, 8 Sm 3.59-3.64
Sm 0.4982 0.8304 0.5000  4 Tm 3.55-3.57, 8 Sm 3.59-3.66
Sm 0.5018 0.1696 0.5000  4 Tm 3.55-3.57, 8 Sm 3.59-3.66
Sm 0.6643 0.6643 0.0000  4 Tm 3.57, 8 Sm 3.59-3.64
Sm 0.6654 0.0014 0.0000  8 Sm 3.57-3.64, 3 Tm 3.58-3.60, 1 La 3.61
Sm 0.8304 0.4982 0.5000  4 Tm 3.55-3.57, 8 Sm 3.59-3.66
Sm 0.8319 0.8319 0.5000  8 Sm 3.60-3.61, 2 La 3.61, 2 Tm 3.64
Sm 0.9986 0.3346 0.0000  8 Sm 3.57-3.64, 3 Tm 3.58-3.60, 1 La 3.61
Tm 0.1690 0.8310 0.5000  8 Sm 3.55-3.64, 2 Tm 3.57, 2 La 3.62
Tm 0.3332 0.6668 0.0000  8 Sm 3.57-3.58, 4 Tm 3.57-3.60
Tm 0.5000 0.5000 0.5000  8 Sm 3.57, 4 Tm 3.60
Tm 0.6668 0.3332 0.0000  8 Sm 3.57-3.58, 4 Tm 3.57-3.60
Tm 0.8310 0.1690 0.5000  8 Sm 3.55-3.64, 2 Tm 3.57, 2 La 3.62

=====

VASP calculation (PBE) on a relaxed structure of Mn2ZnRh.

Output
Space-group type ... P1
Density of states at the Fermi level ... 3.19 states/eV/f.u.
Formation energy ... -0.3 eV per formula unit
Crystal system ... triclinic

Cell: 4.6838 5.1021 5.1414 Å, 116.45 91.09 90.86°
Last column: nearest neighbours and their distance in Å.
Positions (direct):
Mn 0.0000 0.0000 0.0000  4 Zn 2.63-2.70, 3 Rh 2.65-2.68, 5 Mn 2.67-2.79
Mn 0.0054 0.5169 0.4931  5 Mn 2.60-2.73, 3 Rh 2.61-2.70, 4 Zn 2.69-2.80
Mn 0.3442 0.2269 0.7127  4 Mn 2.56-2.77, 4 Rh 2.56-2.73, 4 Zn 2.62-2.83
Mn 0.5017 0.7519 0.7201  6 Mn 2.56-2.79, 3 Rh 2.65-2.69, 3 Zn 2.69-2.74
Zn 0.5064 0.2407 0.2331  8 Mn 2.62-2.80, 3 Rh 2.65-2.70, 1 Zn 2.70
Zn 0.8363 0.4959 0.9818  4 Rh 2.62-2.77, 7 Mn 2.63-2.83, 1 Zn 2.70
Rh 0.3414 0.7230 0.2057  4 Zn 2.63-2.68, 6 Mn 2.65-2.73, 2 Rh 2.80-2.82
Rh 0.8496 0.0078 0.4979  7 Mn 2.56-2.70, 3 Zn 2.62-2.77, 2 Rh 2.80-2.82

=====

VASP calculation (PBE) on a relaxed structure of AcNd2Cl8.

Output
Space-group type ... C2/m
VASP energy ... -52.11 eV/cell
Density of states at the Fermi level ... 3.45 states/eV/f.u.
Crystal system ... monoclinic

Cell: 7.6576 7.6576 5.4007 Å, 99.16 99.16 111.44°
Last column: nearest neighbours and their distance in Å.
Positions (direct):
Ac 0.0000 0.0000 0.0000  4 Cl 2.99-3.03
Nd 0.3187 0.6813 0.5000  8 Cl 2.89-2.92
Nd 0.6813 0.3187 0.5000  8 Cl 2.89-2.92
Cl 0.0627 0.3178 0.5748  2 Nd 2.89, 2 Cl 3.15-3.23
Cl 0.2363 0.7637 0.0000  2 Nd 2.89, 1 Ac 2.99
Cl 0.3178 0.0627 0.5748  2 Nd 2.89, 2 Cl 3.15-3.23
Cl 0.3659 0.3659 0.1761  2 Nd 2.92, 1 Ac 3.03
Cl 0.6341 0.6341 0.8239  2 Nd 2.92, 1 Ac 3.03
Cl 0.6822 0.9373 0.4252  2 Nd 2.89, 2 Cl 3.15-3.23
Cl 0.7637 0.2363 0.0000  2 Nd 2.89, 1 Ac 2.99
Cl 0.9373 0.6822 0.4252  2 Nd 2.89, 2 Cl 3.15-3.23

=====

VASP calculation (PBE) on a relaxed structure of CaHo3Tl.

Output
Space-group type ... P6_3/mmc
Density of states at the Fermi level ... 9.43 states/eV/f.u.
Formation energy ... 0.9 eV per formula unit
Crystal system ... hexagonal

Cell: 8.0340 8.0340 6.2664 Å, 90.00 90.00 120.00°
Last column: nearest neighbours and their distance in Å.
Positions (direct):
Ca 0.3333 0.6667 0.2500  12 Ho 3.71-4.03
Ca 0.6667 0.3333 0.7500  12 Ho 3.71-4.03
Ho 0.1905 0.3810 0.7500  2 Tl 3.08, 2 Ho 3.44
Ho 0.1905 0.8095 0.7500  2 Tl 3.08, 2 Ho 3.44
Ho 0.3810 0.1905 0.2500  2 Tl 3.08, 2 Ho 3.44
Ho 0.6190 0.8095 0.7500  2 Tl 3.08, 2 Ho 3.44
Ho 0.8095 0.1905 0.2500  2 Tl 3.08, 2 Ho 3.44
Ho 0.8095 0.6190 0.2500  2 Tl 3.08, 2 Ho 3.44
Tl 0.0000 0.0000 0.0000  6 Ho 3.08, 2 Tl 3.13
Tl 0.0000 0.0000 0.5000  6 Ho 3.08, 2 Tl 3.13

=====

VASP calculation (PBE) on a relaxed structure of YSi2.

Output
Space-group type ... C2/m
VASP energy ... -37.05 eV/cell
Density of states at the Fermi level ... 1.33 states/eV/f.u.
Crystal system ... monoclinic

Cell: 6.9610 6.9610 5.1199 Å, 106.82 106.82 29.91°
Last column: nearest neighbours and their distance in Å.
Positions (direct):
Y 0.1148 0.1148 0.2681  8 Si 2.82-3.13
Y 0.8852 0.8852 0.7319  8 Si 2.82-3.13
Si 0.2199 0.2199 0.8346  4 Si 2.43-2.60
Si 0.4265 0.4265 0.2853  3 Si 2.48-2.60
Si 0.5735 0.5735 0.7147  3 Si 2.48-2.60
Si 0.7801 0.7801 0.1654  4 Si 2.43-2.60

=====

VASP calculation (PBE) on a relaxed structure of LiTa2P.

Output
Space-group type ... P4mm
Density of states at the Fermi level ... 1.85 states/eV/f.u.
Formation energy ... 0.0 eV per formula unit
Crystal system ... tetragonal

Cell: 2.8357 2.8357 8.3978 Å, 90.00 90.00 90.00°
Last column: nearest neighbours and their distance in Å.
Positions (direct):
Li 0.0000 0.0000 0.0000  4 P 2.68, 4 Li 2.84
Ta 0.0000 0.0000 0.4284  4 P 2.70, 8 Ta 2.84-3.02
Ta 0.5000 0.5000 0.6981  8 Ta 2.84-3.02
P 0.5000 0.5000 0.2125  4 Li 2.68, 4 Ta 2.70, 4 P 2.84

=====

VASP calculation (PBE) on a relaxed structure of Na5Ge2Bi5.

Output
Space-group type ... C2/m
Density of states at the Fermi level ... 4.61 states/eV/f.u.
Formation energy ... -1.7 eV per formula unit
Crystal system ... monoclinic

Cell: 7.3103 7.3103 12.2152 Å, 110.12 110.12 36.59°
Last column: nearest neighbours and their distance in Å.
Positions (direct):
Na 0.0000 0.0000 0.0000  6 Bi 3.29-3.50
Na 0.3452 0.3452 0.5081  5 Bi 3.17-3.34, 3 Ge 3.24-3.25, 2 Na 3.45
Na 0.4159 0.4159 0.2458  2 Ge 3.29, 3 Bi 3.43-3.63, 2 Na 3.58-3.68
Na 0.5841 0.5841 0.7542  2 Ge 3.29, 3 Bi 3.43-3.63, 2 Na 3.58-3.68
Na 0.6548 0.6548 0.4919  5 Bi 3.17-3.34, 3 Ge 3.24-3.25, 2 Na 3.45
Ge 0.2273 0.2273 0.6937  4 Bi 2.87-3.18
Ge 0.7727 0.7727 0.3063  4 Bi 2.87-3.18
Bi 0.0000 0.0000 0.5000  4 Na 3.17, 2 Ge 3.18
Bi 0.1289 0.1289 0.2850  2 Ge 2.99, 4 Na 3.24-3.34
Bi 0.2979 0.2979 0.9454  1 Ge 2.87, 2 Bi 3.18
Bi 0.7021 0.7021 0.0546  1 Ge 2.87, 2 Bi 3.18
Bi 0.8711 0.8711 0.7150  2 Ge 2.99, 4 Na 3.24-3.34

=====

VASP calculation (PBE) on a relaxed structure of BeBIN2.

Output
Space-group type ... P4/mmm
Density of states at the Fermi level ... 1.56 states/eV/f.u.
Distance to the lowest polymorph of the same formula ... 0 meV/atom
Crystal system ... tetragonal

Cell: 3.2760 3.2760 6.5638 Å, 90.00 90.00 90.00°
Last column: nearest neighbours and their distance in Å.
Positions (direct):
Be 0.0000 0.0000 0.0000  4 I 2.32
B 0.5000 0.5000 0.5000  4 N 1.64
I 0.5000 0.5000 0.0000  4 Be 2.32
N 0.0000 0.5000 0.5000  2 B 1.64
N 0.5000 0.0000 0.5000  2 B 1.64

=====

VASP calculation (PBE) on a relaxed structure of BiTeS3.

Output
Space-group type ... P-6c2
Density of states at the Fermi level ... 2.48 states/eV/f.u.
Distance to the lowest polymorph of the same formula ... 106 meV/atom
Crystal system ... hexagonal

Cell: 6.9225 6.9225 7.1569 Å, 90.00 90.00 120.00°
Last column: nearest neighbours and their distance in Å.
Positions (direct):
Bi 0.0000 0.0000 0.0000  6 S 2.84
Bi 0.0000 0.0000 0.5000  6 S 2.84
Te 0.6667 0.3333 0.0000  6 S 2.77
Te 0.6667 0.3333 0.5000  6 S 2.77
S 0.3426 0.0532 0.2500  2 Te 2.77, 2 Bi 2.84
S 0.3426 0.2894 0.7500  2 Te 2.77, 2 Bi 2.84
S 0.7106 0.0532 0.7500  2 Te 2.77, 2 Bi 2.84
S 0.7106 0.6574 0.2500  2 Te 2.77, 2 Bi 2.84
S 0.9468 0.2894 0.2500  2 Te 2.77, 2 Bi 2.84
S 0.9468 0.6574 0.7500  2 Te 2.77, 2 Bi 2.84

=====

VASP calculation (PBE) on a relaxed structure of Cr3RuS.

Output
Space-group type ... Pm-3m
VASP energy ... -39.45 eV/cell
Density of states at the Fermi level ... 7.74 states/eV/f.u.
Crystal system ... cubic

Cell: 4.0980 4.0980 4.0980 Å, 90.00 90.00 90.00°
Last column: nearest neighbours and their distance in Å.
Positions (direct):
Cr 0.0000 0.0000 0.5000  2 S 2.05
Cr 0.0000 0.5000 0.0000  2 S 2.05
Cr 0.5000 0.0000 0.0000  2 S 2.05
Ru 0.5000 0.5000 0.5000  12 Cr 2.90
S 0.0000 0.0000 0.0000  6 Cr 2.05

=====

Please write out number 8 again, unchanged.
VASP calculation (PBE) on a relaxed structure of LiTa2P.

Output
Space-group type ... P4mm
Density of states at the Fermi level ... 1.85 states/eV/f.u.
Formation energy ... 0.0 eV per formula unit
Crystal system ... tetragonal

Cell: 2.8357 2.8357 8.3978 Å, 90.00 90.00 90.00°
Last column: nearest neighbours and their distance in Å.
Positions (direct):
Li 0.0000 0.0000 0.0000  4 P 2.68, 4 Li 2.84
Ta 0.0000 0.0000 0.4284  4 P 2.70, 8 Ta 2.84-3.02
Ta 0.5000 0.5000 0.6981  8 Ta 2.84-3.02
P 0.5000 0.5000 0.2125  4 Li 2.68, 4 Ta 2.70, 4 P 2.84

=====

Repeat the seventh record exactly.
VASP calculation (PBE) on a relaxed structure of YSi2.

Output
Space-group type ... C2/m
VASP energy ... -37.05 eV/cell
Density of states at the Fermi level ... 1.33 states/eV/f.u.
Crystal system ... monoclinic

Cell: 6.9610 6.9610 5.1199 Å, 106.82 106.82 29.91°
Last column: nearest neighbours and their distance in Å.
Positions (direct):
Y 0.1148 0.1148 0.2681  8 Si 2.82-3.13
Y 0.8852 0.8852 0.7319  8 Si 2.82-3.13
Si 0.2199 0.2199 0.8346  4 Si 2.43-2.60
Si 0.4265 0.4265 0.2853  3 Si 2.48-2.60
Si 0.5735 0.5735 0.7147  3 Si 2.48-2.60
Si 0.7801 0.7801 0.1654  4 Si 2.43-2.60